DFT (PBE-GGA) results for an optimized crystal structure of K3Tb2PrSe6.

- mass density (g/cm³) = 4.75
- raw total energy (eV/atom) = -4.9454

```
data_K3Tb2PrSe6
_cell_length_a 7.415
_cell_length_b 12.846
_cell_length_c 8.086
_cell_angle_alpha 90.00
_cell_angle_beta 107.80
_cell_angle_gamma 90.00
_symmetry_space_group_name_H-M 'C 1 2/m 1'
_symmetry_Int_Tables_number 12
_symmetry_space_group_name_Hall '-C 2y'
loop_
_atom_site_label
_atom_site_type_symbol
_atom_site_fract_x
_atom_site_fract_y
_atom_site_fract_z
_atom_site_occupancy
K1 K 0.000 0.000 0.000 1
K2 K 0.000 0.335 0.000 1
Tb1 Tb 0.000 0.167 0.500 1
Pr1 Pr 0.000 0.500 0.500 1
Se1 Se 0.227 0.000 0.708 1
Se2 Se 0.240 0.329 0.708 1
```


DFT (PBE-GGA) results for an optimized crystal structure of CeYMn.

- energy above the most stable polymorph in this dataset (eV per atom) = 0.037
- ΔE_f (meV per atom) = 243
- mass density (g/cm³) = 6.81
- raw total energy (eV/atom) = -6.9463

```
data_CeYMn
_cell_length_a 5.354
_cell_length_b 3.525
_cell_length_c 7.809
_cell_angle_alpha 90.00
_cell_angle_beta 109.97
_cell_angle_gamma 90.00
_symmetry_space_group_name_H-M 'P 1 21/m 1'
_symmetry_Int_Tables_number 11
_symmetry_space_group_name_Hall '-P 2yb'
loop_
_atom_site_label
_atom_site_type_symbol
_atom_site_fract_x
_atom_site_fract_y
_atom_site_fract_z
_atom_site_occupancy
Ce1 Ce 0.188 0.250 0.376 1
Y1 Y 0.410 0.750 0.821 1
Mn1 Mn 0.040 0.750 0.080 1
```


DFT (PBE-GGA) results for an optimized crystal structure of ErBeZn2Pd4.

- ΔE_f (meV per atom) = -623
- mass density (g/cm³) = 9.79
- raw total energy (eV/atom) = -4.5744

```
data_ErBeZn2Pd4
_cell_length_a 4.3847
_cell_length_b 4.3847
_cell_length_c 22.3927
_cell_angle_alpha 90.00
_cell_angle_beta 90.00
_cell_angle_gamma 120.00
_symmetry_space_group_name_H-M 'R -3 m'
_symmetry_Int_Tables_number 166
_symmetry_space_group_name_Hall '-R 3 2"'
loop_
_atom_site_label
_atom_site_type_symbol
_atom_site_fract_x
_atom_site_fract_y
_atom_site_fract_z
_atom_site_occupancy
Er1 Er 0.0000 0.0000 0.0000 1
Be1 Be 0.0000 0.0000 0.5000 1
Zn1 Zn 0.0000 0.0000 0.2483 1
Pd1 Pd 0.0000 0.0000 0.1318 1
Pd2 Pd 0.0000 0.0000 0.3978 1
```


DFT (PBE-GGA) results for an optimized crystal structure of ErThAgOs.

- ΔE_f (meV per atom) = -210
- mass density (g/cm³) = 12.73
- raw total energy (eV/atom) = -6.7263

```
data_ErThAgOs
_cell_length_a 7.140
_cell_length_b 7.140
_cell_length_c 7.140
_cell_angle_alpha 90.00
_cell_angle_beta 90.00
_cell_angle_gamma 90.00
_symmetry_space_group_name_H-M 'F -4 3 m'
_symmetry_Int_Tables_number 216
_symmetry_space_group_name_Hall 'F -4 2 3'
loop_
_atom_site_label
_atom_site_type_symbol
_atom_site_fract_x
_atom_site_fract_y
_atom_site_fract_z
_atom_site_occupancy
Er1 Er 0.000 0.000 0.000 1
Th1 Th 0.000 0.000 0.500 1
Ag1 Ag 0.250 0.250 0.750 1
Os1 Os 0.250 0.250 0.250 1
```


Look up the raw total energy of the second one. -6.9463 eV/atom


Repeat the first record exactly.
DFT (PBE-GGA) results for an optimized crystal structure of K3Tb2PrSe6.

- mass density (g/cm³) = 4.75
- raw total energy (eV/atom) = -4.9454

```
data_K3Tb2PrSe6
_cell_length_a 7.415
_cell_length_b 12.846
_cell_length_c 8.086
_cell_angle_alpha 90.00
_cell_angle_beta 107.80
_cell_angle_gamma 90.00
_symmetry_space_group_name_H-M 'C 1 2/m 1'
_symmetry_Int_Tables_number 12
_symmetry_space_group_name_Hall '-C 2y'
loop_
_atom_site_label
_atom_site_type_symbol
_atom_site_fract_x
_atom_site_fract_y
_atom_site_fract_z
_atom_site_occupancy
K1 K 0.000 0.000 0.000 1
K2 K 0.000 0.335 0.000 1
Tb1 Tb 0.000 0.167 0.500 1
Pr1 Pr 0.000 0.500 0.500 1
Se1 Se 0.227 0.000 0.708 1
Se2 Se 0.240 0.329 0.708 1
```